VASP calculation (PBE) on a relaxed CaAlCl2 crystal.

Lattice parameters (Å, degrees): 9.0433 9.0433 9.0433 27.69 27.69 27.69
Atoms (fractional coordinates):
Ca (0.0000, 0.0000, 0.0000)
Al (0.5000, 0.5000, 0.5000)
Cl (0.1002, 0.1002, 0.1002)
Cl (0.8998, 0.8998, 0.8998)

## Properties
total energy	-12.67	eV/cell
M_tot	0.0	μB per cell
ΔE to the lowest computed polymorph	0.446	eV per atom
uncorrected formation energy	-0.807	eV per atom

VASP calculation (PBE) on a relaxed Ca2AlCl crystal.

Lattice parameters (Å, degrees): 7.7559 7.7559 6.8652 55.61 55.61 90.00
Atoms (fractional coordinates):
Cl (0.0000, 0.0000, 0.0000)
Cl (0.7500, 0.2500, 0.5000)
Ca (0.0940, 0.6250, 0.2500)
Ca (0.6560, 0.1250, 0.2500)
Ca (0.8750, 0.9060, 0.7500)
Ca (0.3750, 0.3440, 0.7500)
Al (0.2500, 0.7500, 0.5000)
Al (0.5000, 0.5000, 0.0000)

## Properties
total energy	-24.30	eV/cell
M_tot	0.0	μB per cell
ΔE to the lowest computed polymorph	0.299	eV per atom
uncorrected formation energy	-0.639	eV per atom

VASP calculation (PBE) on a relaxed CaAl2Cl crystal.

Lattice parameters (Å, degrees): 4.5944 4.5944 5.2541 90.00 90.00 90.00
Atoms (fractional coordinates):
Al (0.0000, 0.0000, 0.4914)
Al (0.0000, 0.0000, 0.0086)
Ca (0.5000, 0.5000, 0.2500)
Cl (0.5000, 0.5000, 0.7500)

## Properties
total energy	-12.42	eV/cell
M_tot	0.0	μB per cell
ΔE to the lowest computed polymorph	0.322	eV per atom
uncorrected formation energy	-0.273	eV per atom

VASP calculation (PBE) on a relaxed Ca4AlCl crystal.

Lattice parameters (Å, degrees): 6.7408 6.7408 6.7408 60.00 60.00 60.00
Atoms (fractional coordinates):
Al (0.0000, 0.0000, 0.0000)
Cl (0.7500, 0.7500, 0.7500)
Ca (0.3739, 0.3739, 0.8782)
Ca (0.8782, 0.3739, 0.3739)
Ca (0.3739, 0.8782, 0.3739)
Ca (0.3739, 0.3739, 0.3739)

## Properties
total energy	-12.67	eV/cell
M_tot	0.0	μB per cell
uncorrected formation energy	0.155	eV per atom

VASP calculation (PBE) on a relaxed CaAlCl2 crystal.

Lattice parameters (Å, degrees): 5.4284 4.1859 5.1877 66.12 90.00 90.00
Last column: magnetic moment on the atom in μB.
Atoms (fractional coordinates):
Cl (0.5000, 0.2166, 0.1911)  0.03
Cl (0.0000, 0.8124, 0.0007)  0.00
Ca (0.5000, 0.9164, 0.7929)  0.09
Al (0.0000, 0.5547, 0.5152)  0.08

## Properties
total energy	-13.68	eV/cell
M_tot	1.0	μB per cell
ΔE to the lowest computed polymorph	0.193	eV per atom
uncorrected formation energy	-1.061	eV per atom

VASP calculation (PBE) on a relaxed Ca2AlCl crystal.

Lattice parameters (Å, degrees): 3.5943 3.7992 8.2656 89.99 90.00 90.00
Atoms (fractional coordinates):
Al (0.5000, 0.7500, 0.7500)
Ca (0.0000, 0.2501, 0.9795)
Ca (0.0000, 0.2499, 0.5205)
Cl (0.5000, 0.2500, 0.2500)

## Properties
total energy	-13.34	eV/cell
M_tot	0.0	μB per cell
ΔE to the lowest computed polymorph	0.000	eV per atom
uncorrected formation energy	-0.938	eV per atom

VASP calculation (PBE) on a relaxed Ca2AlCl crystal.

Lattice parameters (Å, degrees): 5.9177 5.9177 5.9177 140.56 111.67 81.86
Atoms (fractional coordinates):
Ca (0.0327, 0.0327, 0.0000)
Ca (0.4673, 0.4673, 0.0000)
Al (0.7500, 0.2500, 0.5000)
Cl (0.2500, 0.7500, 0.5000)

## Properties
total energy	-12.15	eV/cell
M_tot	0.7	μB per cell
ΔE to the lowest computed polymorph	0.299	eV per atom
uncorrected formation energy	-0.639	eV per atom

VASP calculation (PBE) on a relaxed CaAl2Cl crystal.

Lattice parameters (Å, degrees): 6.0984 6.0984 3.3951 90.00 90.00 127.64
Atoms (fractional coordinates):
Al (0.5000, 0.5000, 0.0000)
Al (0.0000, 0.0000, 0.0000)
Ca (0.5000, 0.0000, 0.5000)
Cl (0.0000, 0.5000, 0.5000)

## Properties
total energy	-12.26	eV/cell
M_tot	0.0	μB per cell
ΔE to the lowest computed polymorph	0.363	eV per atom
uncorrected formation energy	-0.232	eV per atom

VASP calculation (PBE) on a relaxed CaAlCl2 crystal.

Lattice parameters (Å, degrees): 5.2950 5.2950 6.2810 75.22 75.22 41.14
Atoms (fractional coordinates):
Al (0.7500, 0.7500, 0.7500)
Cl (0.5623, 0.5623, 0.4603)
Cl (0.9377, 0.9377, 0.0397)
Ca (0.2500, 0.2500, 0.2500)

## Properties
total energy	-13.85	eV/cell
M_tot	0.0	μB per cell
ΔE to the lowest computed polymorph	0.151	eV per atom
uncorrected formation energy	-1.103	eV per atom

VASP calculation (PBE) on a relaxed CaAlCl2 crystal.

Lattice parameters (Å, degrees): 4.1446 4.1584 5.6574 90.00 90.00 90.00
Last column: magnetic moment on the atom in μB.
Atoms (fractional coordinates):
Ca (0.5000, 0.5000, 0.7718)  0.05
Cl (0.0000, 0.0000, 0.0081)  0.00
Cl (0.5000, 0.5000, 0.2793)  0.03
Al (0.0000, 0.0000, 0.4408)  0.02

## Properties
total energy	-13.35	eV/cell
M_tot	0.4	μB per cell
ΔE to the lowest computed polymorph	0.275	eV per atom
uncorrected formation energy	-0.979	eV per atom

Which formula does entry 8 have? CaAl2Cl

Among the records above, which one has the lowest uncorrected formation energy? number 9

Among the records above, which one has the lowest total energy? number 2